Density functional theory data (PBE) for crystalline HoTmAsP at its relaxed geometry.

Lattice parameters (Å, degrees): 4.027 4.027 5.690 90.00 90.00 90.00
Atoms (fractional coordinates):
Ho: 0.000 0.000 0.000
Tm: 0.500 0.500 0.500
As: 0.500 0.500 0.000
P: 0.000 0.000 0.500

Electronic total energy   -6.329 eV per atom
Fermi-level density of states   0.0948 states/eV/atom


Density functional theory data (PBE) for crystalline Nd2Ni4Sb3Rh at its relaxed geometry.

Lattice parameters (Å, degrees): 4.273 4.273 10.436 90.00 90.00 90.00
Atoms (fractional coordinates):
Nd: 0.000 0.500 0.246
Nd: 0.500 0.000 0.754
Ni: 0.000 0.000 0.500
Ni: 0.000 0.500 0.868
Ni: 0.500 0.000 0.132
Ni: 0.500 0.500 0.500
Sb: 0.000 0.000 0.000
Sb: 0.000 0.500 0.630
Sb: 0.500 0.000 0.370
Rh: 0.500 0.500 0.000

Formation energy from raw total energies   -585 meV/atom
Electronic total energy   -5.823 eV per atom
Fermi-level density of states   0.8952 states/eV/atom